(1)
The following is a GGA-PBE calculation of an optimized crystal structure of Cd3Mo, from Alexandria.

Spin magnetization in μB per atom: 0.000
N(E_F) in states/eV/atom: 0.745
Energy in eV for the cell shown: -11.95

Unit cell a=2.907 b=4.583 c=6.099 alpha=90.00 beta=74.30 gamma=90.00
Element x y z (fractional)
Mo  0.750  0.500  0.750
Cd  0.250  0.500  0.250
Cd  0.431  0.000  0.514
Cd  0.069  0.000  0.986

---

(2)
The following is a GGA-PBE calculation of an optimized crystal structure of KAgBr2, from Alexandria.

Raw formation energy in meV per atom: -842
Spin magnetization in μB per atom: 0.000
Energy in eV for the cell shown: -10.66

Unit cell a=8.006 b=5.444 c=3.834 alpha=83.07 beta=71.66 gamma=128.65
Element x y z (fractional)
Ag  0.500  0.500  0.000
Br  0.500  0.000  0.500
Br  0.000  0.000  0.000
K  0.000  0.500  0.500

---

(3)
The following is a GGA-PBE calculation of an optimized crystal structure of ZnCd3I8, from Alexandria.

Raw formation energy in meV per atom: -537
Spin magnetization in μB per atom: 0.000
N(E_F) in states/eV/atom: 0.000
Energy in eV for the cell shown: -22.86

Unit cell a=8.516 b=8.539 c=9.083 alpha=118.88 beta=90.00 gamma=119.91
Element x y z (fractional)
I  0.243  0.007  0.776
I  0.745  0.491  0.231
I  0.764  0.007  0.776
I  0.763  0.525  0.776
I  0.237  0.475  0.224
I  0.757  0.993  0.224
I  0.255  0.509  0.769
I  0.236  0.993  0.224
Cd  0.500  0.000  0.000
Cd  0.000  0.500  0.000
Cd  0.500  0.500  0.000
Zn  0.000  0.000  0.000